The following is a PBE-GGA calculation of a geometry-optimized Be2Rh structure, from Alexandria.

Calculated values
size of the total moment	0.0	Bohr magnetons per cell
formation enthalpy at 0 K	-0.478	eV per atom
VASP energy	-0.3978	Ry per atom

The structure in extended XYZ format:
```
6
Lattice="-1.867 3.259 -2.197 -0.355 -0.219 -4.331 -3.903 -0.570 -1.837" Properties=species:S:1:pos:R:3 pbc="T T T"
Rh -2.717 0.024 -1.964
Rh -3.408 2.447 -6.401
Be -0.178 -0.109 -2.166
Be -0.934 1.630 -1.099
Be -3.063 1.235 -4.183
Be -1.111 1.520 -3.264
```

***

The following is a PBE-GGA calculation of a geometry-optimized FeAgPd2W structure, from Alexandria.

Calculated values
size of the total moment	2.4	Bohr magnetons per cell
formation enthalpy at 0 K	1.123	eV per atom
VASP energy	-0.4268	Ry per atom

The structure in extended XYZ format:
```
5
Lattice="-4.137 2.039 -0.626 -1.981 -3.690 1.073 -0.028 1.313 4.465" Properties=species:S:1:pos:R:3 pbc="T T T"
Ag -3.073 -0.169 2.456
Pd -2.068 1.020 -0.313
Pd -0.014 0.656 2.233
Fe 0.000 0.000 0.000
W -0.991 -1.845 0.536
```

***

The following is a PBE-GGA calculation of a geometry-optimized K2AlNi structure, from Alexandria.

Calculated values
size of the total moment	0.0	Bohr magnetons per cell
formation enthalpy at 0 K	0.334	eV per atom
VASP energy	-0.1907	Ry per atom

The structure in extended XYZ format:
```
8
Lattice="-5.007 -9.139 -6.371 -1.666 -6.291 10.335 -5.399 -6.759 2.232" Properties=species:S:1:pos:R:3 pbc="T T T"
Al -5.201 -10.383 7.275
K -5.628 -9.905 -3.328
K -7.083 -14.187 1.047
Al -3.337 -7.715 1.982
Ni 0.000 0.000 0.000
K -6.239 -9.674 1.219
Ni -6.871 -11.807 -1.078
K -8.535 -13.461 -3.251
```

***

The following is a PBE-GGA calculation of a geometry-optimized Ba2SrAl2 structure, from Alexandria.

Calculated values
size of the total moment	0.2	Bohr magnetons per cell
formation enthalpy at 0 K	-0.041	eV per atom
distance to the lowest polymorph of the same formula	13	meV per atom
VASP energy	-0.1943	Ry per atom

The structure in extended XYZ format:
```
5
Lattice="4.893 0.000 0.000 0.000 7.195 1.249 -2.447 -0.829 5.476" Properties=species:S:1:pos:R:3 pbc="T T T"
Ba 2.447 4.364 2.438
Sr 0.000 0.000 0.000
Ba 0.000 2.002 4.287
Al 2.447 0.412 2.401
Al 0.000 5.955 4.324
```

***

The following is a PBE-GGA calculation of a geometry-optimized Ag3Sn12Hg5 structure, from Alexandria.

Calculated values
size of the total moment	0.0	Bohr magnetons per cell
formation enthalpy at 0 K	0.154	eV per atom
VASP energy	-0.2022	Ry per atom

The structure in extended XYZ format:
```
80
Lattice="-5.267 -9.285 -9.982 -2.835 -5.121 13.391 -6.346 13.060 -1.666" Properties=species:S:1:pos:R:3 pbc="T T T"
Sn -4.597 -0.076 -3.994
Sn -9.422 1.775 7.529
Sn -6.128 -0.286 3.576
Hg -1.418 -2.561 6.696
Sn -8.320 -1.060 -1.833
Sn -4.502 -4.770 -2.720
Sn -6.667 -7.740 0.466
Sn -3.551 4.184 0.906
Hg -5.165 -0.104 8.171
Sn -10.603 2.935 -0.253
Sn -6.874 7.987 3.779
Sn -6.414 -1.828 6.252
Ag -5.807 -7.251 -2.673
Sn -4.928 -0.684 -0.971
Sn -8.585 -8.867 3.245
Hg 0.000 0.000 0.000
Sn -10.897 -5.531 0.837
Hg -2.633 -4.642 -4.991
Hg -3.173 6.530 -0.833
Sn -2.216 -2.418 3.866
Hg -11.140 -1.530 -1.615
Hg -10.971 1.783 2.347
Hg -4.591 -5.170 9.014
Sn -6.028 3.017 -3.115
Ag -6.380 -2.186 -3.516
Sn -9.851 -1.270 5.737
Sn -9.877 5.257 -2.796
Sn -8.034 0.482 -4.509
Hg -4.051 -7.203 1.704
Sn -7.579 -4.486 -2.451
Ag -6.920 8.986 0.642
Hg -9.857 3.823 -7.271
Hg -4.591 3.969 5.863
Sn -7.574 -9.333 -2.036
Hg -7.089 5.673 -3.319
Ag -5.334 -3.418 4.210
Hg -6.346 3.921 1.485
Hg -3.308 0.184 3.357
Ag -6.549 -5.499 -7.477
Sn -4.690 -6.624 -5.706
Ag -8.641 5.905 4.416
Sn -10.741 2.104 -9.388
Sn -6.979 10.276 -2.386
Sn -7.469 -11.622 4.129
Ag -7.899 4.153 9.220
Hg -7.359 -7.019 5.062
Sn -8.902 -0.382 -9.136
Sn -3.811 -4.251 6.412
Sn -7.184 1.964 -0.436
Sn -7.781 6.394 1.276
Sn -5.863 7.521 -1.502
Sn -3.845 -4.281 1.996
Sn -4.571 -6.603 4.539
Sn -12.232 1.072 -2.123
Sn -8.057 -3.771 -5.864
Sn -6.391 2.425 7.607
Sn -9.758 5.278 7.449
Ag -4.051 1.936 -1.446
Hg -5.806 1.887 -5.824
Sn -7.264 -3.310 2.179
Sn -6.828 5.754 6.550
Ag -7.528 -10.332 1.101
Sn -5.546 -0.965 10.879
Ag -10.397 -3.282 3.189
Hg -8.102 -5.267 0.258
Sn -11.912 -2.601 0.930
Hg -7.224 -0.673 0.871
Hg -9.284 -1.242 -6.428
Sn -3.707 -3.450 11.130
Sn -10.637 2.904 -4.669
Sn -8.420 -4.363 4.858
Ag -8.068 0.840 5.259
Sn -2.536 1.255 0.813
Hg -3.477 -3.130 -0.604
Sn -9.946 3.424 4.463
Ag -9.114 2.071 -2.467
Sn -5.026 -3.121 -5.786
Sn -7.620 -7.100 -4.807
Sn -6.869 3.140 4.193
Sn -9.520 -0.662 2.714
```

***

The following is a PBE-GGA calculation of a geometry-optimized Ho2PaRu4 structure, from Alexandria.

Calculated values
size of the total moment	0.0	Bohr magnetons per cell
formation enthalpy at 0 K	-0.128	eV per atom
VASP energy	-0.5948	Ry per atom

The structure in extended XYZ format:
```
7
Lattice="4.349 0.000 -1.386 -0.442 4.326 -1.386 -0.035 -0.038 7.406" Properties=species:S:1:pos:R:3 pbc="T T T"
Ho 1.012 1.120 3.173
Ru 0.196 2.625 0.616
Ru 2.592 0.462 0.616
Pa 0.000 0.000 0.000
Ho 2.861 3.168 1.460
Ru 3.676 1.663 4.017
Ru 1.281 3.826 4.017
```

***

The following is a PBE-GGA calculation of a geometry-optimized Ba8H3N3O structure, from Alexandria.

Calculated values
size of the total moment	0.2	Bohr magnetons per cell
VASP energy	-0.3216	Ry per atom

The structure in extended XYZ format:
```
15
Lattice="8.131 0.000 0.000 -4.066 7.043 -0.027 0.000 -4.673 6.985" Properties=species:S:1:pos:R:3 pbc="T T T"
N 2.033 1.185 3.479
Ba -1.998 3.519 4.957
H 0.000 0.000 0.000
O 0.000 -2.336 3.493
H 2.033 3.521 -0.013
Ba 0.000 0.056 4.970
Ba 4.066 2.314 1.988
Ba 2.067 -1.149 2.001
N 4.066 -2.336 3.493
Ba 0.000 2.351 1.848
H -2.033 3.521 -0.013
Ba 6.064 -1.149 2.001
Ba 4.066 0.019 5.111
Ba 1.998 3.519 4.957
N -2.033 1.185 3.479
```

***

The following is a PBE-GGA calculation of a geometry-optimized GePS2F structure, from Alexandria.

Calculated values
formation energy from raw total energies	275	kJ/mol of formula units
size of the total moment	0.0	Bohr magnetons per cell
distance to the lowest polymorph of the same formula	0	meV per atom
VASP energy	-0.2544	Ry per atom

The structure in extended XYZ format:
```
5
Lattice="5.010 0.000 0.000 0.000 5.010 0.000 0.000 0.000 3.687" Properties=species:S:1:pos:R:3 pbc="T T T"
S 0.000 2.505 0.000
S 2.505 0.000 0.000
Ge 2.505 2.505 1.843
P 0.000 0.000 1.843
F 0.000 0.000 0.000
```

***

The following is a PBE-GGA calculation of a geometry-optimized TlInS structure, from Alexandria.

Calculated values
formation energy from raw total energies	-91	kJ/mol of formula units
size of the total moment	0.0	Bohr magnetons per cell
distance to the lowest polymorph of the same formula	11	meV per atom
VASP energy	-0.2494	Ry per atom

The structure in extended XYZ format:
```
12
Lattice="7.974 0.000 0.000 0.000 6.562 0.392 0.000 3.510 6.992" Properties=species:S:1:pos:R:3 pbc="T T T"
In 2.923 4.827 0.384
Tl 4.873 3.240 3.279
Tl 7.088 8.276 6.971
S 5.057 5.892 1.763
S 6.903 4.366 5.063
S 2.916 4.180 5.622
Tl 3.101 6.832 4.105
In 5.051 5.245 7.000
In 6.909 6.771 3.700
Tl 0.886 1.796 0.413
S 1.070 5.706 2.321
In 1.064 3.300 3.684
```

***

Ordered DOS at the Fermi energy results: 2.65, 4.12, 5.12, 4.69, 39.44, 5.83, 4.89, 3.19, 0.53; unit states/eV per cell.